CaCrO3: optimized geometry, GGA+U.

Cell and atoms, written as POSCAR:
```
CaCrO3
1.0
5.3249 0.0000 0.0000
0.0000 5.4775 0.0000
0.0000 0.0000 7.5397
O Cr Ca
12 4 4
Direct
0.7885 0.7977 0.4595
0.2885 0.7023 0.9595
0.7116 0.2977 0.4595
0.2885 0.7023 0.5405
0.5784 0.0225 0.7500
0.9216 0.5225 0.7500
0.0784 0.4775 0.2500
0.2115 0.2023 0.5405
0.4216 0.9775 0.2500
0.2115 0.2023 0.9595
0.7116 0.2977 0.0405
0.7884 0.7977 0.0405
0.0000 0.5000 0.5000
0.0000 0.5000 0.0000
0.5000 0.0000 0.0000
0.5000 0.0000 0.5000
0.9917 0.0462 0.2500
0.4918 0.4538 0.7500
0.5083 0.5461 0.2500
0.0082 0.9538 0.7500
```

Values from the calculation:
**Symmetry**: Pnma
**Size of the total moment**: 0.400 μB per atom
**DFT total energy**: -141.82 eV per cell